# 1
# TlCdRe2 (SCAN, single point on PBEsol structure)
data_TlCdRe2
_chemical_formula_sum 'Tl1 Cd1 Re2'
_cell_length_a 4.5746
_cell_length_b 4.5746
_cell_length_c 4.5746
_cell_angle_alpha 60.00
_cell_angle_beta 60.00
_cell_angle_gamma 60.00
_space_group_name_H-M_alt 'P 1'
_space_group_IT_number 1
_space_group_name_Hall 'P 1'
loop_
_atom_site_label
_atom_site_type_symbol
_atom_site_fract_x
_atom_site_fract_y
_atom_site_fract_z
_atom_site_occupancy
Tl1 Tl 0.0000 0.0000 0.0000 1
Cd1 Cd 0.5000 0.5000 0.5000 1
Re1 Re 0.2500 0.2500 0.2500 1
Re2 Re 0.7500 0.7500 0.7500 1
# Excess energy over the best structure of this formula in the dataset   370.1 meV/atom
# Symmetry   Fm-3m, No. 225
# Energy of formation from the pure elements   1410.5 meV/atom

***

# 2
# TlCdRe2 (SCAN, single point on PBEsol structure)
data_TlCdRe2
_chemical_formula_sum 'Tl1 Cd1 Re2'
_cell_length_a 2.9327
_cell_length_b 4.8558
_cell_length_c 4.8604
_cell_angle_alpha 90.00
_cell_angle_beta 90.00
_cell_angle_gamma 90.00
_space_group_name_H-M_alt 'P 1'
_space_group_IT_number 1
_space_group_name_Hall 'P 1'
loop_
_atom_site_label
_atom_site_type_symbol
_atom_site_fract_x
_atom_site_fract_y
_atom_site_fract_z
_atom_site_occupancy
Tl1 Tl 0.0000 0.0000 0.0000 1
Cd1 Cd 0.5000 0.5000 0.0000 1
Re1 Re 0.0000 0.5000 0.5000 1
Re2 Re 0.5000 0.0000 0.5000 1
# Excess energy over the best structure of this formula in the dataset   6.4 meV/atom
# Symmetry   Pmmm, No. 47
# Energy of formation from the pure elements   1046.9 meV/atom

***

# 3
# CdReW2 (SCAN, single point on PBEsol structure)
data_CdReW2
_chemical_formula_sum 'Cd1 Re1 W2'
_cell_length_a 5.0148
_cell_length_b 5.0148
_cell_length_c 2.7456
_cell_angle_alpha 90.00
_cell_angle_beta 90.00
_cell_angle_gamma 112.77
_space_group_name_H-M_alt 'P 1'
_space_group_IT_number 1
_space_group_name_Hall 'P 1'
loop_
_atom_site_label
_atom_site_type_symbol
_atom_site_fract_x
_atom_site_fract_y
_atom_site_fract_z
_atom_site_occupancy
Cd1 Cd 0.0000 0.0000 0.0000 1
Re1 Re 0.5000 0.5000 0.0000 1
W1 W 0.0000 0.5000 0.5000 1
W2 W 0.5000 0.0000 0.5000 1
# Symmetry   Cmmm, No. 65
# Energy of formation from the pure elements   575.1 meV/atom

***

# 4
# CdReW2 (SCAN, single point on PBEsol structure)
data_CdReW2
_chemical_formula_sum 'Cd1 Re1 W2'
_cell_length_a 2.7283
_cell_length_b 2.7283
_cell_length_c 9.2985
_cell_angle_alpha 90.00
_cell_angle_beta 90.00
_cell_angle_gamma 110.04
_space_group_name_H-M_alt 'P 1'
_space_group_IT_number 1
_space_group_name_Hall 'P 1'
loop_
_atom_site_label
_atom_site_type_symbol
_atom_site_fract_x
_atom_site_fract_y
_atom_site_fract_z
_atom_site_occupancy
Cd1 Cd 0.0000 0.0000 0.0000 1
Re1 Re 0.0000 0.0000 0.5000 1
W1 W 0.5000 0.5000 0.2675 1
W2 W 0.5000 0.5000 0.7325 1
# Symmetry   Cmmm, No. 65
# Energy of formation from the pure elements   367.1 meV/atom